Entry 1:
This record from Alexandria via LeMat-Bulk describes an optimized crystal structure of Er3CdPd12. The functional is GGA-PBE.

Properties
Theoretical density, Mg/m³: 11.515

The structure in POSCAR format:
```
Er3CdPd12
1.0
4.080 0.000 0.000
0.000 4.080 0.000
0.000 0.000 16.384
Er Cd Pd
3 1 12
Cartesian
0.000 0.000 0.000
0.000 0.000 4.139
0.000 0.000 12.244
0.000 0.000 8.192
0.000 2.040 2.059
0.000 2.040 6.178
0.000 2.040 10.206
0.000 2.040 14.324
2.040 0.000 2.059
2.040 0.000 6.178
2.040 0.000 10.206
2.040 0.000 14.324
2.040 2.040 0.000
2.040 2.040 4.111
2.040 2.040 8.192
2.040 2.040 12.272
```

Entry 2:
This record from Alexandria via LeMat-Bulk describes an optimized crystal structure of Er3Cd2Pd3. The functional is GGA-PBE.

Properties
Theoretical density, Mg/m³: 10.158
Polymorph energy (0 for the lowest one), meV/atom: 13

The structure in POSCAR format:
```
Er3Cd2Pd3
1.0
-1.725 2.448 10.123
1.725 -2.448 10.123
1.725 2.448 -10.123
Er Cd Pd
3 2 3
Cartesian
0.000 0.000 0.000
1.725 0.000 7.645
0.000 2.448 2.478
0.000 0.000 4.718
0.000 0.000 15.528
1.725 0.000 2.358
0.000 0.000 10.123
0.000 2.448 7.765
```

Entry 3:
This record from Alexandria via LeMat-Bulk describes an optimized crystal structure of ErCd2Pd7. The functional is GGA-PBE.

Properties
Theoretical density, Mg/m³: 8.547

The structure in POSCAR format:
```
ErCd2Pd7
1.0
3.630 -7.002 0.000
3.630 7.002 0.000
0.000 0.000 4.346
Er Cd Pd
1 2 7
Cartesian
0.000 0.000 0.000
3.630 2.822 2.173
3.630 -2.822 2.173
1.336 1.432 2.173
3.630 4.366 0.000
1.336 -1.432 2.173
3.630 0.000 2.173
5.924 1.432 2.173
3.630 -4.366 0.000
5.924 -1.432 2.173
```

Entry 4:
This record from Alexandria via LeMat-Bulk describes an optimized crystal structure of ErCd4Pd2. The functional is GGA-PBE.

Properties
Theoretical density, Mg/m³: 9.158

The structure in POSCAR format:
```
ErCd4Pd2
1.0
8.873 0.000 0.000
0.000 8.873 0.000
0.000 0.000 3.822
Er Cd Pd
2 8 4
Cartesian
0.000 0.000 0.000
4.437 4.437 1.911
0.852 2.966 1.911
1.470 5.288 0.000
2.966 0.852 1.911
3.585 7.403 0.000
5.288 1.470 0.000
5.907 8.021 1.911
7.403 3.585 0.000
8.021 5.907 1.911
1.498 7.376 1.911
2.939 2.939 0.000
5.934 5.934 0.000
7.376 1.498 1.911
```

Entry 5:
This record from Alexandria via LeMat-Bulk describes an optimized crystal structure of Er12CdPd6. The functional is GGA-PBE.

Properties
Theoretical density, Mg/m³: 9.106
Polymorph energy (0 for the lowest one), meV/atom: 103

The structure in POSCAR format:
```
Er12CdPd6
1.0
6.994 4.038 2.968
-6.994 4.038 2.968
0.000 -8.077 2.968
Er Cd Pd
12 1 6
Cartesian
-2.079 0.682 1.572
0.449 -2.142 1.572
-2.054 -2.574 3.796
1.630 1.460 1.572
-3.256 0.492 5.107
-1.202 3.066 3.796
1.202 -3.066 5.107
3.256 -0.492 3.796
-1.630 -1.460 7.331
2.054 2.574 5.107
-0.449 2.142 7.331
2.079 -0.682 7.331
0.000 0.000 4.451
-4.528 -1.990 4.924
-0.540 -4.917 3.979
-3.988 2.926 3.979
3.988 -2.926 4.924
0.540 4.917 4.924
4.528 1.990 3.979
```

Entry 6:
This record from Alexandria via LeMat-Bulk describes an optimized crystal structure of ErCd3Pd4. The functional is GGA-PBE.

Properties
Theoretical density, Mg/m³: 9.962
Polymorph energy (0 for the lowest one), meV/atom: 259

The structure in POSCAR format:
```
ErCd3Pd4
1.0
-2.899 4.927 2.714
2.899 -4.927 2.714
2.899 4.927 -2.714
Er Cd Pd
1 3 4
Cartesian
0.000 0.000 0.000
2.899 0.000 0.522
2.899 2.617 -0.620
0.000 2.310 2.095
2.899 -2.279 2.083
1.411 4.927 0.415
1.487 0.000 3.129
2.899 2.279 2.083
```

Entry 7:
This record from Alexandria via LeMat-Bulk describes an optimized crystal structure of Er4CdPd15. The functional is GGA-PBE.

Properties
Theoretical density, Mg/m³: 11.565

The structure in POSCAR format:
```
Er4CdPd15
1.0
4.079 0.000 0.000
0.000 4.079 0.000
0.000 0.000 20.525
Er Cd Pd
4 1 15
Cartesian
0.000 0.000 2.062
0.000 0.000 6.203
0.000 0.000 14.321
0.000 0.000 18.462
0.000 0.000 10.262
0.000 2.039 0.000
0.000 2.039 4.129
0.000 2.039 8.249
0.000 2.039 12.276
0.000 2.039 16.396
2.039 0.000 0.000
2.039 0.000 4.129
2.039 0.000 8.249
2.039 0.000 12.276
2.039 0.000 16.396
2.039 2.039 2.073
2.039 2.039 6.183
2.039 2.039 10.262
2.039 2.039 14.341
2.039 2.039 18.452
```

Entry 8:
This record from Alexandria via LeMat-Bulk describes an optimized crystal structure of Er8Cd2Pd. The functional is GGA-PBE.

Properties
Theoretical density, Mg/m³: 9.220

The structure in POSCAR format:
```
Er8Cd2Pd
1.0
8.749 -2.635 0.000
8.749 2.635 0.000
-2.258 0.000 6.521
Er Cd Pd
8 2 1
Cartesian
-0.247 0.000 1.815
1.675 0.000 5.150
4.815 0.000 3.565
6.999 0.000 0.425
8.242 0.000 6.096
10.426 0.000 2.956
13.567 0.000 1.371
15.488 0.000 4.706
2.755 0.000 1.367
12.487 0.000 5.154
7.621 0.000 3.261
```

It is found that the calculated formation energy values, taken in the order of the records, are -1130.2 -530.6 -51.1 -271.6 -912.7 -247.8 -1482.8 -242.9 kJ/mol of formula units.